# 1
GaClF3: optimized geometry, PBE.

## Properties
Mass density = 4.26 Mg/m³
Raw formation energy = -1540.9 meV per atom
Total magnetic moment = 1.0 Bohr magnetons per cell
Calculated volume = 63.2 Å³ per cell
Electronic total energy = -18.19 eV per cell
DOS(E_F) = 6.872 states/eV/f.u.

Cell lengths 3.983, 3.983, 3.983 Å; angles 90.00, 90.00, 90.00 degrees
Space group Pm-3m (No. 221)
Asymmetric unit:
Ga 0.000 0.000 0.000 (multiplicity 1)
Cl 0.500 0.500 0.500 (multiplicity 1)
F 0.000 0.000 0.500 (multiplicity 3)

# 2
GaCl3F: optimized geometry, PBE.

## Properties
Mass density = 2.94 Mg/m³
Raw formation energy = 67.0 meV per atom
Total magnetic moment = 0.0 Bohr magnetons per cell
Calculated volume = 110.1 Å³ per cell
Electronic total energy = -10.10 eV per cell
DOS(E_F) = 3.209 states/eV/f.u.

Cell lengths 4.793, 4.793, 4.793 Å; angles 90.00, 90.00, 90.00 degrees
Space group Pm-3m (No. 221)
Asymmetric unit:
Ga 0.000 0.000 0.000 (multiplicity 1)
Cl 0.000 0.500 0.500 (multiplicity 3)
F 0.500 0.500 0.500 (multiplicity 1)

# 3
GaCl3F: optimized geometry, PBE.

## Properties
Mass density = 2.98 Mg/m³
Raw formation energy = -433.4 meV per atom
Total magnetic moment = 1.0 Bohr magnetons per cell
Calculated volume = 108.7 Å³ per cell
Electronic total energy = -12.61 eV per cell
DOS(E_F) = 12.842 states/eV/f.u.

Cell lengths 4.773, 4.773, 4.773 Å; angles 90.00, 90.00, 90.00 degrees
Space group Pm-3m (No. 221)
Asymmetric unit:
Ga 0.000 0.000 0.000 (multiplicity 1)
Cl 0.000 0.000 0.500 (multiplicity 3)
F 0.500 0.500 0.500 (multiplicity 1)

# 4
Ga2ClF: optimized geometry, PBE.

## Properties
Mass density = 3.91 Mg/m³
Raw formation energy = -911.4 meV per atom
Total magnetic moment = 0.0 Bohr magnetons per cell
Calculated volume = 329.1 Å³ per cell
Electronic total energy = -53.67 eV per cell
DOS(E_F) = 0.000 states/eV/f.u.

Cell lengths 6.904, 6.904, 6.904 Å; angles 90.00, 90.00, 90.00 degrees
Space group Fm-3m (No. 225)
Asymmetric unit:
Ga 0.250 0.250 0.250 (multiplicity 8)
Cl 0.000 0.000 0.000 (multiplicity 4)
F 0.000 0.000 0.500 (multiplicity 4)

# 5
GaCl3F: optimized geometry, PBE.

## Properties
Mass density = 2.47 Mg/m³
Raw formation energy = -1075.6 meV per atom
Total magnetic moment = 0.0 Bohr magnetons per cell
Calculated volume = 524.8 Å³ per cell
Electronic total energy = -63.26 eV per cell
DOS(E_F) = 1.819 states/eV/f.u.

Cell lengths 5.944, 12.225, 7.222 Å; angles 90.00, 90.00, 90.00 degrees
Space group Imma (No. 74)
Asymmetric unit:
Ga 0.250 0.250 0.250 (multiplicity 4)
Cl 0.000 0.250 0.501 (multiplicity 4)
Cl 0.250 0.054 0.250 (multiplicity 8)
F 0.000 0.250 0.079 (multiplicity 4)

# 6
Ga2ClF: optimized geometry, PBE.

## Properties
Mass density = 2.95 Mg/m³
Raw formation energy = -1078.9 meV per atom
Total magnetic moment = 0.0 Bohr magnetons per cell
Calculated volume = 327.2 Å³ per cell
Electronic total energy = -42.26 eV per cell

Cell lengths 5.2767, 5.2767, 13.5701 Å; angles 90.00, 90.00, 120.00 degrees
Space group R-3m (No. 166, hexagonal axes)
Asymmetric unit:
Ga 0.0000 0.0000 0.1479 (multiplicity 6)
Cl 0.0000 0.0000 0.5000 (multiplicity 3)
F 0.0000 0.0000 0.0000 (multiplicity 3)

# 7
Ga2ClF: optimized geometry, PBE.

## Properties
Mass density = 2.87 Mg/m³
Raw formation energy = -1015.2 meV per atom
Total magnetic moment = 0.0 Bohr magnetons per cell
Calculated volume = 448.8 Å³ per cell
Electronic total energy = -55.33 eV per cell
DOS(E_F) = 0.000 states/eV/f.u.

Cell lengths 5.715, 5.715, 13.743 Å; angles 90.00, 90.00, 90.00 degrees
Space group I-42d (No. 122)
Asymmetric unit:
Ga 0.173 0.250 0.125 (multiplicity 8)
Cl 0.000 0.000 0.500 (multiplicity 4)
F 0.000 0.000 0.000 (multiplicity 4)

# 8
GaClF: optimized geometry, PBE.

## Properties
Mass density = 3.00 Mg/m³
Raw formation energy = -1394.4 meV per atom
Total magnetic moment = 0.0 Bohr magnetons per cell
Calculated volume = 274.9 Å³ per cell
Electronic total energy = -43.71 eV per cell
DOS(E_F) = 0.342 states/eV/f.u.

Cell lengths 8.749, 3.792, 9.168 Å; angles 90.00, 115.34, 90.00 degrees
Space group P2_1/c (No. 14)
Asymmetric unit:
Ga 0.079 0.053 0.188 (multiplicity 4)
Cl 0.332 0.242 0.814 (multiplicity 4)
F 0.102 0.732 0.520 (multiplicity 4)

Q: total magnetic moment of number 7 (Ga2ClF)?
A: 0.0 Bohr magnetons per cell

Q: Among the records above, which one has the highest raw formation energy?
A: number 2